VASP calculation (PBE) on a relaxed structure of KMo2Br2.

**DOS(E_F)**: 3.0 states/eV/f.u.
**Magnetic moment**: 2.00 μB per cell
**Energy above the most stable polymorph in this dataset**: 0.000 eV per atom

Unit cell a=8.5396 b=8.5396 c=4.9110 alpha=90.00 beta=90.00 gamma=90.00
Positions (direct):
K: 0.0000 0.0000 0.0000
K: 0.5000 0.5000 0.0000
Mo: 0.0850 0.4150 0.5000
Mo: 0.4150 0.9150 0.5000
Mo: 0.5850 0.0850 0.5000
Mo: 0.9150 0.5850 0.5000
Br: 0.1556 0.3444 0.0000
Br: 0.3444 0.8444 0.0000
Br: 0.6556 0.1556 0.0000
Br: 0.8444 0.6556 0.0000